## Ac4In5Pb2 (PBE)

Data for a relaxed structure of Ac4In5Pb2.

- DOS at the Fermi energy (states/eV/f.u.) = 7.62
- ΔE_f (eV per atom) = -0.36

Structure (CIF):
```
data_Ac4In5Pb2
_symmetry_space_group_name_H-M 'P 1 2/m 1'
_symmetry_Int_Tables_number 10
_cell_length_a 8.602
_cell_length_b 4.025
_cell_length_c 10.697
_cell_angle_alpha 90.00
_cell_angle_beta 94.20
_cell_angle_gamma 90.00
loop_
_symmetry_equiv_pos_as_xyz
'x,y,z'
'-x,-y,-z'
'-x,y,-z'
'x,-y,z'
loop_
_atom_site_label
_atom_site_type_symbol
_atom_site_fract_x
_atom_site_fract_y
_atom_site_fract_z
Ac1 Ac 0.186 0.000 0.389
Ac2 Ac 0.272 0.000 0.933
In1 In 0.187 0.500 0.658
In2 In 0.451 0.500 0.205
In3 In 0.500 0.500 0.500
Pb1 Pb 0.069 0.500 0.140
```

=====

## Ac3CoCl3 (PBE)

Data for a relaxed structure of Ac3CoCl3.

- DOS at the Fermi energy (states/eV/f.u.) = 3.98
- raw formation energy (kJ/mol of atoms) = -133.33

Structure (CIF):
```
data_Ac3CoCl3
_symmetry_space_group_name_H-M 'P 1 21/m 1'
_symmetry_Int_Tables_number 11
_cell_length_a 9.260
_cell_length_b 4.257
_cell_length_c 12.398
_cell_angle_alpha 90.00
_cell_angle_beta 95.58
_cell_angle_gamma 90.00
loop_
_symmetry_equiv_pos_as_xyz
'x,y,z'
'-x,-y,-z'
'-x,y+1/2,-z'
'x,-y+1/2,z'
loop_
_atom_site_label
_atom_site_type_symbol
_atom_site_fract_x
_atom_site_fract_y
_atom_site_fract_z
Ac1 Ac 0.087 0.250 0.391
Ac2 Ac 0.144 0.250 0.856
Ac3 Ac 0.342 0.750 0.631
Co1 Co 0.131 0.250 0.632
Cl1 Cl 0.089 0.250 0.112
Cl2 Cl 0.377 0.750 0.882
Cl3 Cl 0.381 0.750 0.384
```

=====

## Cd3AgPd (PBE)

Data for a relaxed structure of Cd3AgPd.

- DOS at the Fermi energy (states/eV/f.u.) = 1.80
- polymorph energy (0 for the lowest one) (meV/atom) = 38
- ΔE_f (eV per atom) = -0.14

Structure (CIF):
```
data_Cd3AgPd
_symmetry_space_group_name_H-M 'C 1 2/c 1'
_symmetry_Int_Tables_number 15
_cell_length_a 12.452
_cell_length_b 8.378
_cell_length_c 9.659
_cell_angle_alpha 90.00
_cell_angle_beta 129.58
_cell_angle_gamma 90.00
loop_
_symmetry_equiv_pos_as_xyz
'x,y,z'
'-x,-y,-z'
'-x,y,-z+1/2'
'x,-y,z+1/2'
'x+1/2,y+1/2,z'
'-x+1/2,-y+1/2,-z'
'-x+1/2,y+1/2,-z+1/2'
'x+1/2,-y+1/2,z+1/2'
loop_
_atom_site_label
_atom_site_type_symbol
_atom_site_fract_x
_atom_site_fract_y
_atom_site_fract_z
Cd1 Cd 0.077 0.167 0.065
Cd2 Cd 0.164 0.495 0.075
Cd3 Cd 0.210 0.143 0.577
Ag1 Ag 0.138 0.309 0.805
Pd1 Pd 0.000 0.010 0.750
Pd2 Pd 0.000 0.343 0.250
```

=====

## CaFeSi4 (PBE)

Data for a relaxed structure of CaFeSi4.

- DOS at the Fermi energy (states/eV/f.u.) = 6.05
- raw formation energy (kJ/mol of atoms) = 22.84

Structure (CIF):
```
data_CaFeSi4
_symmetry_space_group_name_H-M 'F -4 3 m'
_symmetry_Int_Tables_number 216
_symmetry_space_group_name_Hall 'F -4 2 3'
_cell_length_a 7.277
_cell_length_b 7.277
_cell_length_c 7.277
_cell_angle_alpha 90.00
_cell_angle_beta 90.00
_cell_angle_gamma 90.00
loop_
_atom_site_label
_atom_site_type_symbol
_atom_site_fract_x
_atom_site_fract_y
_atom_site_fract_z
Ca1 Ca 0.000 0.000 0.000
Fe1 Fe 0.250 0.250 0.750
Si1 Si 0.123 0.123 0.377
```

=====

## Pr8AsIr3Br4 (PBE)

Data for a relaxed structure of Pr8AsIr3Br4.

- DOS at the Fermi energy (states/eV/f.u.) = 9.57
- raw formation energy (kJ/mol of atoms) = -109.60

Structure (CIF):
```
data_Pr8AsIr3Br4
_symmetry_space_group_name_H-M 'R -3 m'
_symmetry_Int_Tables_number 166
_symmetry_space_group_name_Hall '-R 3 2"'
_cell_length_a 8.5156
_cell_length_b 8.5156
_cell_length_c 23.1815
_cell_angle_alpha 90.00
_cell_angle_beta 90.00
_cell_angle_gamma 120.00
loop_
_atom_site_label
_atom_site_type_symbol
_atom_site_fract_x
_atom_site_fract_y
_atom_site_fract_z
Pr1 Pr 0.0000 0.0000 0.2321
Pr2 Pr 0.0141 0.5071 0.7671
As1 As 0.0000 0.0000 0.5000
Ir1 Ir 0.0000 0.5000 0.5000
Br1 Br 0.0000 0.0000 0.0000
Br2 Br 0.0000 0.5000 0.0000
```

=====

## GaOsPd3 (PBE)

Data for a relaxed structure of GaOsPd3.

- DOS at the Fermi energy (states/eV/f.u.) = 3.94
- polymorph energy (0 for the lowest one) (meV/atom) = 0
- ΔE_f (eV per atom) = 1.06

Structure (CIF):
```
data_GaOsPd3
_symmetry_space_group_name_H-M 'P m -3 m'
_symmetry_Int_Tables_number 221
_symmetry_space_group_name_Hall '-P 4 2 3'
_cell_length_a 4.548
_cell_length_b 4.548
_cell_length_c 4.548
_cell_angle_alpha 90.00
_cell_angle_beta 90.00
_cell_angle_gamma 90.00
loop_
_atom_site_label
_atom_site_type_symbol
_atom_site_fract_x
_atom_site_fract_y
_atom_site_fract_z
Ga1 Ga 0.000 0.000 0.000
Os1 Os 0.500 0.500 0.500
Pd1 Pd 0.000 0.000 0.500
```

=====

## Na3Sr3OsO8 (PBE)

Data for a relaxed structure of Na3Sr3OsO8.

- DOS at the Fermi energy (states/eV/f.u.) = 6.31
- raw formation energy (kJ/mol of atoms) = -183.66

Structure (CIF):
```
data_Na3Sr3OsO8
_symmetry_space_group_name_H-M 'R -3 m'
_symmetry_Int_Tables_number 166
_symmetry_space_group_name_Hall '-R 3 2"'
_cell_length_a 7.0918
_cell_length_b 7.0918
_cell_length_c 16.7436
_cell_angle_alpha 90.00
_cell_angle_beta 90.00
_cell_angle_gamma 120.00
loop_
_atom_site_label
_atom_site_type_symbol
_atom_site_fract_x
_atom_site_fract_y
_atom_site_fract_z
Na1 Na 0.0000 0.5000 0.0000
Sr1 Sr 0.0000 0.5000 0.5000
Os1 Os 0.0000 0.0000 0.5000
O1 O 0.0000 0.0000 0.2448
O2 O 0.0744 0.5372 0.2323
```

=====

## HoSbS4 (PBE)

Data for a relaxed structure of HoSbS4.

- DOS at the Fermi energy (states/eV/f.u.) = 0.98
- raw formation energy (kJ/mol of atoms) = -74.92

Structure (CIF):
```
data_HoSbS4
_symmetry_space_group_name_H-M 'C 1 2/c 1'
_symmetry_Int_Tables_number 15
_cell_length_a 8.205
_cell_length_b 13.450
_cell_length_c 6.210
_cell_angle_alpha 90.00
_cell_angle_beta 126.92
_cell_angle_gamma 90.00
loop_
_symmetry_equiv_pos_as_xyz
'x,y,z'
'-x,-y,-z'
'-x,y,-z+1/2'
'x,-y,z+1/2'
'x+1/2,y+1/2,z'
'-x+1/2,-y+1/2,-z'
'-x+1/2,y+1/2,-z+1/2'
'x+1/2,-y+1/2,z+1/2'
loop_
_atom_site_label
_atom_site_type_symbol
_atom_site_fract_x
_atom_site_fract_y
_atom_site_fract_z
Ho1 Ho 0.000 0.133 0.250
Sb1 Sb 0.000 0.408 0.750
S1 S 0.172 0.280 0.666
S2 S 0.246 0.034 0.755
```

=====

## PrNiPt (PBE)

Data for a relaxed structure of PrNiPt.

- DOS at the Fermi energy (states/eV/f.u.) = 3.17
- ΔE_f (eV per atom) = -0.71

Structure (CIF):
```
data_PrNiPt
_symmetry_space_group_name_H-M 'P -6 m 2'
_symmetry_Int_Tables_number 187
_symmetry_space_group_name_Hall 'P -6 2'
_cell_length_a 4.2653
_cell_length_b 4.2653
_cell_length_c 3.9792
_cell_angle_alpha 90.00
_cell_angle_beta 90.00
_cell_angle_gamma 120.00
loop_
_atom_site_label
_atom_site_type_symbol
_atom_site_fract_x
_atom_site_fract_y
_atom_site_fract_z
Pr1 Pr 0.0000 0.0000 0.0000
Ni1 Ni 0.3333 0.6667 0.5000
Pt1 Pt 0.6667 0.3333 0.5000
```

=====

## PmZrAg2 (PBE)

Data for a relaxed structure of PmZrAg2.

- DOS at the Fermi energy (states/eV/f.u.) = 4.10
- polymorph energy (0 for the lowest one) (meV/atom) = 45
- ΔE_f (eV per atom) = -0.04

Structure (CIF):
```
data_PmZrAg2
_symmetry_space_group_name_H-M 'F m -3 m'
_symmetry_Int_Tables_number 225
_symmetry_space_group_name_Hall '-F 4 2 3'
_cell_length_a 7.190
_cell_length_b 7.190
_cell_length_c 7.190
_cell_angle_alpha 90.00
_cell_angle_beta 90.00
_cell_angle_gamma 90.00
loop_
_atom_site_label
_atom_site_type_symbol
_atom_site_fract_x
_atom_site_fract_y
_atom_site_fract_z
Pm1 Pm 0.000 0.000 0.000
Zr1 Zr 0.000 0.000 0.500
Ag1 Ag 0.250 0.250 0.250
```

=====

## Hf2Ni3P (PBE)

Data for a relaxed structure of Hf2Ni3P.

- DOS at the Fermi energy (states/eV/f.u.) = 3.94
- ΔE_f (eV per atom) = -0.69

Structure (CIF):
```
data_Hf2Ni3P
_symmetry_space_group_name_H-M 'F m m m'
_symmetry_Int_Tables_number 69
_symmetry_space_group_name_Hall '-F 2 2'
_cell_length_a 6.342
_cell_length_b 7.977
_cell_length_c 13.762
_cell_angle_alpha 90.00
_cell_angle_beta 90.00
_cell_angle_gamma 90.00
loop_
_atom_site_label
_atom_site_type_symbol
_atom_site_fract_x
_atom_site_fract_y
_atom_site_fract_z
Hf1 Hf 0.242 0.000 0.000
Hf2 Hf 0.250 0.250 0.250
Ni1 Ni 0.000 0.000 0.174
Ni2 Ni 0.000 0.242 0.414
P1 P 0.000 0.000 0.336
```

=====

## CaLa2Mg (PBE)

Data for a relaxed structure of CaLa2Mg.

- DOS at the Fermi energy (states/eV/f.u.) = 4.85
- ΔE_f (eV per atom) = 0.01

Structure (CIF):
```
data_CaLa2Mg
_symmetry_space_group_name_H-M 'C 1 m 1'
_symmetry_Int_Tables_number 8
_cell_length_a 13.038
_cell_length_b 4.034
_cell_length_c 5.863
_cell_angle_alpha 90.00
_cell_angle_beta 116.06
_cell_angle_gamma 90.00
loop_
_symmetry_equiv_pos_as_xyz
'x,y,z'
'x,-y,z'
'x+1/2,y+1/2,z'
'x+1/2,-y+1/2,z'
loop_
_atom_site_label
_atom_site_type_symbol
_atom_site_fract_x
_atom_site_fract_y
_atom_site_fract_z
Ca1 Ca 0.000 0.000 0.000
La1 La 0.227 0.000 0.719
La2 La 0.462 0.000 0.463
Mg1 Mg 0.225 0.500 0.217
```

=====

What did the second record say?
## Ac3CoCl3 (PBE)

Data for a relaxed structure of Ac3CoCl3.

- DOS at the Fermi energy (states/eV/f.u.) = 3.98
- raw formation energy (kJ/mol of atoms) = -133.33

Structure (CIF):
```
data_Ac3CoCl3
_symmetry_space_group_name_H-M 'P 1 21/m 1'
_symmetry_Int_Tables_number 11
_cell_length_a 9.260
_cell_length_b 4.257
_cell_length_c 12.398
_cell_angle_alpha 90.00
_cell_angle_beta 95.58
_cell_angle_gamma 90.00
loop_
_symmetry_equiv_pos_as_xyz
'x,y,z'
'-x,-y,-z'
'-x,y+1/2,-z'
'x,-y+1/2,z'
loop_
_atom_site_label
_atom_site_type_symbol
_atom_site_fract_x
_atom_site_fract_y
_atom_site_fract_z
Ac1 Ac 0.087 0.250 0.391
Ac2 Ac 0.144 0.250 0.856
Ac3 Ac 0.342 0.750 0.631
Co1 Co 0.131 0.250 0.632
Cl1 Cl 0.089 0.250 0.112
Cl2 Cl 0.377 0.750 0.882
Cl3 Cl 0.381 0.750 0.384
```

=====

- Which of these has the highest DOS at the Fermi energy?
  Pr8AsIr3Br4

=====

- Which value of DOS at the Fermi energy does entry 6 give?
  3.94 states/eV/f.u.